The following is a DFT calculation (PBE) of a relaxed structure of NpCuTcSb.

Cell lengths 6.6653, 6.6653, 6.6653 Å; angles 90.00, 90.00, 90.00 degrees
Space group F-43m (No. 216)
One atom of each set of equivalent atoms:
Np1 0.0000 0.0000 0.0000 x4
Cu1 0.2500 0.2500 0.2500 x4
Tc1 0.2500 0.2500 0.7500 x4
Sb1 0.0000 0.0000 0.5000 x4

Calculated values
The value obtained for the volume is 18.51 Å³/atom. Its size of the total moment is 0.8122 μB per atom. For the electronic total energy, the calculation gives -7.670 eV/atom.